Run a
# BiBI2O

A relaxed BiBI2O crystal (PBE-GGA, the Alexandria database).

Properties
crystal system = tetragonal
Fermi-level density of states = 0.2257 states/eV per atom

```
5
Lattice="-1.921 4.874 -3.419 -0.092 -3.616 -5.103 -4.087 -1.041 0.811" Properties=species:S:1:pos:R:3 pbc="T T T"
O -2.043 -0.521 0.406
I -0.960 2.437 -1.709
B -3.050 0.108 -3.856
Bi 0.000 0.000 0.000
I -0.046 -1.808 -2.552
```



Run b
# BiBI2O

A relaxed BiBI2O crystal (PBE-GGA, the Alexandria database).

Properties
crystal system = tetragonal
Fermi-level density of states = 0.5988 states/eV per atom

```
5
Lattice="7.129 0.000 0.000 0.000 7.129 0.000 0.000 0.000 2.916" Properties=species:S:1:pos:R:3 pbc="T T T"
B 0.000 0.000 0.000
Bi 3.565 3.565 1.458
I 0.000 3.565 0.000
I 3.565 0.000 0.000
O 0.000 0.000 1.458
```



The structure with the greatest stability is run b.



Run a
# BiBSb2I

A relaxed BiBSb2I crystal (PBE-GGA, the Alexandria database).

Properties
crystal system = tetragonal
Fermi-level density of states = 0.3668 states/eV per atom

```
5
Lattice="5.088 0.000 0.000 0.000 5.088 0.000 0.000 0.000 4.865" Properties=species:S:1:pos:R:3 pbc="T T T"
Sb 2.544 0.000 0.000
B 0.000 0.000 0.000
Bi 2.544 2.544 2.432
Sb 0.000 2.544 0.000
I 0.000 0.000 2.432
```



Run b
# BiBSb2I

A relaxed BiBSb2I crystal (PBE-GGA, the Alexandria database).

Properties
crystal system = tetragonal
Fermi-level density of states = 0.7776 states/eV per atom

```
5
Lattice="5.891 0.000 0.000 0.000 5.891 0.000 0.000 0.000 6.212" Properties=species:S:1:pos:R:3 pbc="T T T"
B 2.945 2.945 3.106
Bi 0.000 0.000 0.000
Sb 0.000 2.945 0.000
Sb 2.945 0.000 0.000
I 0.000 0.000 3.106
```



The structure with the greatest stability is run a.